Compound: Li2HoCu2As2
Source: Alexandria via LeMat-Bulk
Functional: PBE-GGA
Structure: optimized geometry

The structure in POSCAR format:
```
Li2HoCu2As2
1.0
2.0529 1.1852 7.6281
-2.0529 1.1852 7.6281
0.0000 -2.3705 7.6281
Li Ho Cu As
2 1 2 2
direct
0.1438 0.1438 0.1438
0.8562 0.8562 0.8562
0.0000 0.0000 0.0000
0.4347 0.4347 0.4347
0.5653 0.5653 0.5653
0.2567 0.2567 0.2567
0.7433 0.7433 0.7433
```

Output
Symmetry: R-3m, No. 166
DFT formation energy in eV/atom: -0.6820

---

Compound: Ho2CuNi3As4
Source: Alexandria via LeMat-Bulk
Functional: PBE-GGA
Structure: optimized geometry

The structure in POSCAR format:
```
Ho2CuNi3As4
1.0
4.1314 0.0000 0.0000
0.0000 4.1314 0.0000
0.0000 0.0000 9.6098
Ho Cu Ni As
2 1 3 4
direct
0.0000 0.5000 0.2503
0.5000 0.0000 0.7497
0.0000 0.0000 0.5000
0.0000 0.5000 0.8775
0.5000 0.0000 0.1225
0.5000 0.5000 0.5000
0.0000 0.0000 0.0000
0.0000 0.5000 0.6362
0.5000 0.0000 0.3638
0.5000 0.5000 0.0000
```

Output
Symmetry: P-4m2, No. 115
DFT formation energy in eV/atom: -0.7214

---

Compound: HoCuAs2O8
Source: Alexandria via LeMat-Bulk
Functional: PBE-GGA
Structure: optimized geometry

The structure in POSCAR format:
```
HoCuAs2O8
1.0
-3.4865 3.4865 3.1631
3.4865 -3.4865 3.1631
3.4865 3.4865 -3.1631
Ho Cu As O
1 1 2 8
direct
0.0000 0.0000 0.0000
0.7500 0.2500 0.5000
0.2500 0.7500 0.5000
0.5000 0.5000 0.0000
0.0698 0.3870 0.3172
0.0698 0.7526 0.6828
0.1321 0.3178 0.8143
0.2474 0.9302 0.3172
0.5034 0.3178 0.1857
0.6130 0.9302 0.6828
0.6822 0.4966 0.8143
0.6822 0.8679 0.1857
```

Output
Symmetry: I-4m2, No. 119
ΔE_f (raw) in eV/atom: -1.409